# Ce14ThSc, optimized geometry, DFT PBE
# - Volume: 26.65 Å³/atom
# - Magnetic moment: 0.000 μB per atom
# - ΔE_f: 1.9 eV/f.u.
data_Ce14ThSc
_chemical_formula_sum 'Ce28 Th2 Sc2'
_cell_length_a 10.8997
_cell_length_b 11.1569
_cell_length_c 7.0123
_cell_angle_alpha 90.00
_cell_angle_beta 90.00
_cell_angle_gamma 90.00
_space_group_name_H-M_alt 'A m m 2'
_space_group_IT_number 38
loop_
_space_group_symop_operation_xyz
'x,y,z'
'-x,-y,z'
'-x,y,z'
'x,-y,z'
'x,y+1/2,z+1/2'
'-x,-y+1/2,z+1/2'
'-x,y+1/2,z+1/2'
'x,-y+1/2,z+1/2'
loop_
_atom_site_label
_atom_site_fract_x
_atom_site_fract_y
_atom_site_fract_z
Ce1 0.0000 0.0000 0.0000
Ce2 0.0000 0.0000 0.4927
Ce3 0.0000 0.2392 0.8105
Ce4 0.2367 0.0000 0.8215
Ce5 0.2418 0.0000 0.3346
Ce6 0.2526 0.2265 0.1391
Ce7 0.5000 0.2402 0.8125
Th1 0.5000 0.0000 0.0367
Sc1 0.5000 0.0000 0.5343

=====

# K2Cd2In, optimized geometry, DFT PBE
# - Volume: 35.82 Å³/atom
# - Magnetic moment: 0.000 μB per atom
# - ΔE_f: -0.5 eV/f.u.
data_K2Cd2In
_chemical_formula_sum 'K4 Cd4 In2'
_cell_length_a 6.5836
_cell_length_b 6.7079
_cell_length_c 9.3403
_cell_angle_alpha 80.20
_cell_angle_beta 80.45
_cell_angle_gamma 62.33
_space_group_name_H-M_alt 'P -1'
_space_group_IT_number 2
loop_
_space_group_symop_operation_xyz
'x,y,z'
'-x,-y,-z'
loop_
_atom_site_label
_atom_site_fract_x
_atom_site_fract_y
_atom_site_fract_z
K1 0.0249 0.2772 0.3459
K2 0.2729 0.0307 0.8457
Cd1 0.2416 0.5071 0.0003
Cd2 0.4916 0.7706 0.5001
In1 0.3874 0.6115 0.2548

=====

# Sc4TlInN, optimized geometry, DFT PBE
# - Volume: 20.90 Å³/atom
# - Magnetic moment: 0.000 μB per atom
# - Formation energy without anion corrections: -17.58 kcal/mol of atoms
data_Sc4TlInN
_chemical_formula_sum 'Sc16 Tl4 In4 N4'
_cell_length_a 6.2478
_cell_length_b 14.9849
_cell_length_c 6.2505
_cell_angle_alpha 90.00
_cell_angle_beta 90.00
_cell_angle_gamma 90.00
_space_group_name_H-M_alt 'C m c m'
_space_group_IT_number 63
_space_group_name_Hall '-C 2c 2'
loop_
_atom_site_label
_atom_site_fract_x
_atom_site_fract_y
_atom_site_fract_z
Sc1 0.0000 0.0927 0.2500
Sc2 0.0000 0.4062 0.2500
Sc3 0.2500 0.2500 0.0000
Tl1 0.0000 0.1083 0.7500
In1 0.0000 0.3911 0.7500
N1 0.0000 0.2500 0.2500